# ReTcCl | Alexandria | PBE-GGA | optimized geometry
data_ReTcCl
_chemical_formula_sum 'Re4 Tc4 Cl4'
_symmetry_space_group_name_H-M 'P 1'
_symmetry_Int_Tables_number 1
_cell_length_a 2.920
_cell_length_b 4.956
_cell_length_c 13.241
_cell_angle_alpha 90.00
_cell_angle_beta 90.00
_cell_angle_gamma 90.00
loop_
_symmetry_equiv_pos_as_xyz
'x,y,z'
loop_
_atom_site_label
_atom_site_type_symbol
_atom_site_fract_x
_atom_site_fract_y
_atom_site_fract_z
_atom_site_occupancy
Re1 Re 0.000 0.000 0.000 1
Re2 Re 0.000 0.500 0.500 1
Re3 Re 0.500 0.000 0.500 1
Re4 Re 0.500 0.500 0.000 1
Tc1 Tc 0.000 0.000 0.346 1
Tc2 Tc 0.000 0.500 0.846 1
Tc3 Tc 0.500 0.000 0.846 1
Tc4 Tc 0.500 0.500 0.346 1
Cl1 Cl 0.000 0.000 0.677 1
Cl2 Cl 0.000 0.500 0.177 1
Cl3 Cl 0.500 0.000 0.177 1
Cl4 Cl 0.500 0.500 0.677 1
# SG ... Fmm2 (42)
# Uncorrected formation energy ... 626 meV/atom
# E ... -7.594 eV/atom
# E above lowest polymorph ... 333 meV/atom
# Size of the total moment ... 0.00 μB per formula unit
# Crystal system ... orthorhombic